No. 1
Here is a geometry-optimized Cs2Cd9Au3 structure from Alexandria. Energies are from PBE-GGA.

a = 15.1842 Å, b = 8.6617 Å, c = 12.6125 Å
α = 90.00°, β = 114.43°, γ = 90.00°
Space group C2/c (No. 15)
Symmetry-distinct sites (fractional):
Cs  0.1688  0.0814  0.2484
Cd  0.0000  0.3797  0.2500
Cd  0.0646  0.0913  0.9410
Cd  0.0949  0.4181  0.0408
Cd  0.0962  0.3209  0.7434
Cd  0.2253  0.4205  0.4436
Au  0.0860  0.2402  0.5008
Au  0.2500  0.2500  0.0000

Output
The calculation puts the formation energy at -0.10 eV per atom. As for the magnetic moment: 0.0 μB per formula unit.

=====

No. 2
Here is a geometry-optimized Cs3Cd2Au4 structure from Alexandria. Energies are from PBE-GGA.

a = 13.0639 Å, b = 5.0115 Å, c = 9.8744 Å
α = 90.00°, β = 107.65°, γ = 90.00°
Space group C2/m (No. 12)
Symmetry-distinct sites (fractional):
Cs  0.0000  0.0000  0.0000
Cs  0.1301  0.5000  0.3806
Cd  0.1714  0.5000  0.7832
Au  0.0817  0.0000  0.6356
Au  0.2471  0.0000  0.9128

Output
The calculation puts the formation energy at -0.25 eV per atom. As for the magnetic moment: 0.0 μB per formula unit.

=====

No. 3
Here is a geometry-optimized Cs2CdAu3 structure from Alexandria. Energies are from PBE-GGA.

a = 12.3142 Å, b = 9.0445 Å, c = 9.0258 Å
α = 90.00°, β = 105.76°, γ = 90.00°
Space group C2/c (No. 15)
Symmetry-distinct sites (fractional):
Cs  0.1558  0.1919  0.1599
Cd  0.0000  0.4245  0.7500
Au  0.0000  0.1182  0.7500
Au  0.1139  0.4248  0.5160

Output
The calculation puts the formation energy at -0.16 eV per atom. As for the magnetic moment: 0.0 μB per formula unit.

=====

No. 4
Here is a geometry-optimized Cs2Cd6Au3 structure from Alexandria. Energies are from PBE-GGA.

a = 8.9080 Å, b = 8.9080 Å, c = 4.7454 Å
α = 90.00°, β = 90.00°, γ = 120.00°
Space group P-62m (No. 189)
Symmetry-distinct sites (fractional):
Cs  0.3333  0.6667  0.0000
Cd  0.0000  0.1924  0.0000
Cd  0.0000  0.7055  0.5000
Au  0.0000  0.3733  0.5000

Output
The calculation puts the formation energy at -0.15 eV per atom. As for the magnetic moment: 0.0 μB per formula unit.

=====

Let's list V in order: 1510 616 967 326 Å³ per cell.